Here is a relaxed structure of LaTh2Se3 from Alexandria. Energies are from PBE-GGA.

Summary:
As for the space group: P2_1/c, No. 14. For the total magnetic moment, the calculation gives 0.0000 μB per atom. As for the volume: 26.87 A^3/atom. The total energy is -6.722 eV/atom. As for the formation energy (no corrections): -1.685 eV per atom.

a = 5.991 Å, b = 8.380 Å, c = 12.846 Å
α = 90.00°, β = 90.00°, γ = 90.00°
Positions (direct):
1 La 0.250 0.873 0.081
2 La 0.250 0.373 0.419
3 La 0.750 0.627 0.581
4 La 0.750 0.127 0.919
5 Th 0.251 0.875 0.752
6 Th 0.251 0.375 0.748
7 Th 0.250 0.878 0.416
8 Th 0.250 0.378 0.084
9 Th 0.750 0.622 0.916
10 Th 0.750 0.122 0.584
11 Th 0.749 0.625 0.252
12 Th 0.749 0.125 0.248
13 Se 0.250 0.630 0.584
14 Se 0.250 0.130 0.916
15 Se 0.250 0.621 0.915
16 Se 0.250 0.121 0.585
17 Se 0.249 0.625 0.252
18 Se 0.249 0.125 0.248
19 Se 0.751 0.875 0.752
20 Se 0.751 0.375 0.748
21 Se 0.750 0.879 0.415
22 Se 0.750 0.379 0.085
23 Se 0.750 0.870 0.084
24 Se 0.750 0.370 0.416

=====

Here is a relaxed structure of LaTh4Se6 from Alexandria. Energies are from PBE-GGA.

Summary:
As for the space group: Cmcm, No. 63. For the total magnetic moment, the calculation gives 0.0000 μB per atom. As for the volume: 27.57 A^3/atom. The total energy is -6.740 eV/atom. As for the formation energy (no corrections): -1.693 eV per atom.

a = 4.101 Å, b = 7.315 Å, c = 21.066 Å
α = 90.00°, β = 90.00°, γ = 106.28°
Positions (direct):
1 La 0.662 0.323 0.250
2 La 0.338 0.677 0.750
3 Th 0.857 0.715 0.536
4 Th 0.409 0.819 0.123
5 Th 0.143 0.285 0.464
6 Th 0.591 0.181 0.877
7 Th 0.857 0.715 0.964
8 Th 0.143 0.285 0.036
9 Th 0.591 0.181 0.623
10 Th 0.409 0.819 0.377
11 Se 0.500 0.000 0.000
12 Se 0.500 0.000 0.500
13 Se 0.052 0.104 0.334
14 Se 0.948 0.896 0.666
15 Se 0.948 0.896 0.834
16 Se 0.052 0.104 0.166
17 Se 0.762 0.524 0.401
18 Se 0.238 0.476 0.599
19 Se 0.238 0.476 0.901
20 Se 0.762 0.524 0.099
21 Se 0.320 0.639 0.250
22 Se 0.680 0.361 0.750

=====

Here is a relaxed structure of LaThSe3 from Alexandria. Energies are from PBE-GGA.

Summary:
As for the space group: Cmc2_1, No. 36. For the total magnetic moment, the calculation gives 0.1506 μB per atom. As for the volume: 34.39 A^3/atom. The total energy is -6.261 eV/atom. As for the formation energy (no corrections): -1.701 eV per atom.

a = 4.364 Å, b = 7.587 Å, c = 10.613 Å
α = 90.00°, β = 101.86°, γ = 90.00°
Positions (direct):
1 La 0.344 0.490 0.689
2 La 0.656 0.990 0.311
3 Th 0.838 0.995 0.676
4 Th 0.162 0.495 0.324
5 Se 0.912 0.309 0.824
6 Se 0.088 0.809 0.176
7 Se 0.592 0.340 0.184
8 Se 0.408 0.840 0.816
9 Se 0.750 0.660 0.500
10 Se 0.250 0.160 0.500

=====

Here is a relaxed structure of LaThSe3 from Alexandria. Energies are from PBE-GGA.

Summary:
As for the space group: Pnma, No. 62. For the total magnetic moment, the calculation gives 0.0001 μB per atom. As for the volume: 27.48 A^3/atom. The total energy is -6.447 eV/atom. As for the formation energy (no corrections): -1.887 eV per atom.

a = 4.223 Å, b = 7.921 Å, c = 16.429 Å
α = 90.00°, β = 90.00°, γ = 90.00°
Positions (direct):
1 La 0.750 0.890 0.796
2 La 0.250 0.110 0.204
3 La 0.750 0.390 0.704
4 La 0.250 0.610 0.296
5 Th 0.250 0.255 0.957
6 Th 0.250 0.755 0.543
7 Th 0.750 0.245 0.457
8 Th 0.750 0.745 0.043
9 Se 0.250 0.372 0.569
10 Se 0.750 0.832 0.219
11 Se 0.750 0.493 0.899
12 Se 0.750 0.993 0.601
13 Se 0.750 0.628 0.431
14 Se 0.250 0.007 0.399
15 Se 0.250 0.872 0.931
16 Se 0.750 0.332 0.281
17 Se 0.250 0.668 0.719
18 Se 0.250 0.168 0.781
19 Se 0.750 0.128 0.069
20 Se 0.250 0.507 0.101

=====

Here is a relaxed structure of LaTh6Se8 from Alexandria. Energies are from PBE-GGA.

Summary:
As for the space group: Fm-3m, No. 225. For the total magnetic moment, the calculation gives 0.0000 μB per atom. As for the volume: 27.68 A^3/atom. The total energy is -6.809 eV/atom. As for the formation energy (no corrections): -1.655 eV per atom.

a = 8.374 Å, b = 8.374 Å, c = 8.374 Å
α = 60.00°, β = 60.00°, γ = 60.00°
Positions (direct):
1 La 0.000 0.000 0.000
2 Th 0.000 0.500 0.500
3 Th 0.500 0.000 0.000
4 Th 0.500 0.500 0.000
5 Th 0.000 0.000 0.500
6 Th 0.000 0.500 0.000
7 Th 0.500 0.000 0.500
8 Se 0.750 0.750 0.750
9 Se 0.250 0.250 0.250
10 Se 0.738 0.262 0.262
11 Se 0.262 0.738 0.738
12 Se 0.262 0.262 0.738
13 Se 0.738 0.738 0.262
14 Se 0.738 0.262 0.738
15 Se 0.262 0.738 0.262

=====

Here is a relaxed structure of LaTh3Se6 from Alexandria. Energies are from PBE-GGA.

Summary:
As for the space group: P2_1/m, No. 11. For the total magnetic moment, the calculation gives 0.0001 μB per atom. As for the volume: 28.74 A^3/atom. The total energy is -6.529 eV/atom. As for the formation energy (no corrections): -1.720 eV per atom.

a = 4.246 Å, b = 11.639 Å, c = 12.058 Å
α = 105.29°, β = 90.00°, γ = 90.00°
Positions (direct):
1 La 0.750 0.042 0.695
2 La 0.250 0.958 0.305
3 Th 0.750 0.406 0.840
4 Th 0.250 0.594 0.160
5 Th 0.750 0.687 0.510
6 Th 0.250 0.313 0.490
7 Th 0.750 0.155 0.066
8 Th 0.250 0.845 0.934
9 Se 0.750 0.476 0.618
10 Se 0.250 0.524 0.382
11 Se 0.750 0.918 0.107
12 Se 0.250 0.082 0.893
13 Se 0.750 0.413 0.088
14 Se 0.250 0.587 0.912
15 Se 0.750 0.751 0.286
16 Se 0.250 0.249 0.714
17 Se 0.750 0.122 0.460
18 Se 0.250 0.878 0.540
19 Se 0.750 0.797 0.760
20 Se 0.250 0.203 0.240

=====

Here is a relaxed structure of La2ThSe4 from Alexandria. Energies are from PBE-GGA.

Summary:
As for the space group: Cmcm, No. 63. For the total magnetic moment, the calculation gives 0.0000 μB per atom. As for the volume: 29.79 A^3/atom. The total energy is -6.280 eV/atom. As for the formation energy (no corrections): -1.821 eV per atom.

a = 4.150 Å, b = 7.455 Å, c = 14.033 Å
α = 90.00°, β = 90.00°, γ = 106.16°
Positions (direct):
1 La 0.133 0.266 0.428
2 La 0.867 0.734 0.928
3 La 0.133 0.266 0.072
4 La 0.867 0.734 0.572
5 Th 0.631 0.261 0.750
6 Th 0.369 0.739 0.250
7 Se 0.778 0.557 0.126
8 Se 0.778 0.557 0.374
9 Se 0.222 0.443 0.874
10 Se 0.222 0.443 0.626
11 Se 0.983 0.967 0.750
12 Se 0.017 0.033 0.250
13 Se 0.500 0.000 0.000
14 Se 0.500 0.000 0.500

=====

Here is a relaxed structure of La4ThSe6 from Alexandria. Energies are from PBE-GGA.

Summary:
As for the space group: R-3c, No. 167. For the total magnetic moment, the calculation gives 0.0000 μB per atom. As for the volume: 28.19 A^3/atom. The total energy is -6.154 eV/atom. As for the formation energy (no corrections): -1.787 eV per atom.

a = 8.528 Å, b = 8.528 Å, c = 8.528 Å
α = 89.40°, β = 89.40°, γ = 90.60°
Positions (direct):
1 La 0.366 0.134 0.250
2 La 0.866 0.250 0.366
3 La 0.250 0.634 0.134
4 La 0.250 0.250 0.750
5 La 0.750 0.750 0.250
6 La 0.750 0.366 0.866
7 La 0.134 0.750 0.634
8 La 0.634 0.866 0.750
9 Th 0.500 0.500 0.500
10 Th 0.000 0.000 0.000
11 Se 0.678 0.061 0.087
12 Se 0.087 0.322 0.061
13 Se 0.587 0.439 0.178
14 Se 0.939 0.087 0.678
15 Se 0.561 0.178 0.587
16 Se 0.178 0.413 0.439
17 Se 0.822 0.587 0.561
18 Se 0.439 0.822 0.413
19 Se 0.061 0.913 0.322
20 Se 0.413 0.561 0.822
21 Se 0.913 0.678 0.939
22 Se 0.322 0.939 0.913

=====

Here is a relaxed structure of La3ThSe6 from Alexandria. Energies are from PBE-GGA.

Summary:
As for the space group: P2_1/m, No. 11. For the total magnetic moment, the calculation gives 0.0000 μB per atom. As for the volume: 29.90 A^3/atom. The total energy is -6.231 eV/atom. As for the formation energy (no corrections): -1.920 eV per atom.

a = 4.263 Å, b = 11.935 Å, c = 12.316 Å
α = 107.38°, β = 90.00°, γ = 90.00°
Positions (direct):
1 La 0.750 0.418 0.832
2 La 0.250 0.582 0.168
3 La 0.750 0.682 0.506
4 La 0.250 0.318 0.494
5 La 0.750 0.162 0.076
6 La 0.250 0.838 0.924
7 Th 0.750 0.044 0.690
8 Th 0.250 0.956 0.310
9 Se 0.750 0.480 0.617
10 Se 0.250 0.520 0.383
11 Se 0.750 0.918 0.106
12 Se 0.250 0.082 0.894
13 Se 0.750 0.405 0.071
14 Se 0.250 0.595 0.929
15 Se 0.750 0.759 0.285
16 Se 0.250 0.241 0.715
17 Se 0.750 0.108 0.462
18 Se 0.250 0.892 0.538
19 Se 0.750 0.819 0.751
20 Se 0.250 0.181 0.249

=====

Here is a relaxed structure of LaTh2Se4 from Alexandria. Energies are from PBE-GGA.

Summary:
As for the space group: Cmcm, No. 63. For the total magnetic moment, the calculation gives 0.0000 μB per atom. As for the volume: 28.88 A^3/atom. The total energy is -6.516 eV/atom. As for the formation energy (no corrections): -1.701 eV per atom.

a = 4.096 Å, b = 7.147 Å, c = 14.418 Å
α = 90.00°, β = 90.00°, γ = 106.65°
Positions (direct):
1 La 0.614 0.228 0.750
2 La 0.386 0.772 0.250
3 Th 0.142 0.284 0.437
4 Th 0.858 0.716 0.937
5 Th 0.142 0.284 0.063
6 Th 0.858 0.716 0.563
7 Se 0.780 0.561 0.131
8 Se 0.780 0.561 0.369
9 Se 0.220 0.439 0.869
10 Se 0.220 0.439 0.631
11 Se 0.950 0.901 0.750
12 Se 0.050 0.099 0.250
13 Se 0.500 0.000 0.000
14 Se 0.500 0.000 0.500

=====

Here is a relaxed structure of La2Th3Se8 from Alexandria. Energies are from PBE-GGA.

Summary:
As for the space group: C2/m, No. 12. For the total magnetic moment, the calculation gives 0.0000 μB per atom. As for the volume: 33.39 A^3/atom. The total energy is -6.348 eV/atom. As for the formation energy (no corrections): -1.733 eV per atom.

a = 7.049 Å, b = 8.573 Å, c = 8.695 Å
α = 119.54°, β = 105.88°, γ = 90.00°
Positions (direct):
1 La 0.337 0.259 0.519
2 La 0.663 0.741 0.481
3 Th 0.500 0.000 0.000
4 Th 0.000 0.253 0.000
5 Th 0.000 0.747 0.000
6 Se 0.913 0.612 0.223
7 Se 0.087 0.388 0.777
8 Se 0.922 0.120 0.240
9 Se 0.078 0.880 0.760
10 Se 0.582 0.641 0.752
11 Se 0.582 0.111 0.752
12 Se 0.418 0.889 0.248
13 Se 0.418 0.359 0.248

=====

Here is a relaxed structure of La2Th3Se8 from Alexandria. Energies are from PBE-GGA.

Summary:
As for the space group: Cmmm, No. 65. For the total magnetic moment, the calculation gives 0.1185 μB per atom. As for the volume: 28.78 A^3/atom. The total energy is -6.394 eV/atom. As for the formation energy (no corrections): -1.779 eV per atom.

a = 5.080 Å, b = 10.165 Å, c = 8.848 Å
α = 125.04°, β = 90.00°, γ = 90.00°
Positions (direct):
1 La 0.500 0.266 0.532
2 La 0.500 0.734 0.468
3 Th 0.500 0.000 0.000
4 Th 0.000 0.268 0.000
5 Th 0.000 0.732 0.000
6 Se 0.000 0.623 0.247
7 Se 0.000 0.377 0.753
8 Se 0.000 0.116 0.232
9 Se 0.000 0.884 0.768
10 Se 0.500 0.638 0.758
11 Se 0.500 0.120 0.758
12 Se 0.500 0.880 0.242
13 Se 0.500 0.362 0.242

=====

Here is a relaxed structure of LaTh2Se6 from Alexandria. Energies are from PBE-GGA.

Summary:
As for the space group: C2/m, No. 12. For the total magnetic moment, the calculation gives 0.1101 μB per atom. As for the volume: 34.48 A^3/atom. The total energy is -6.094 eV/atom. As for the formation energy (no corrections): -1.575 eV per atom.

a = 5.656 Å, b = 7.740 Å, c = 8.222 Å
α = 74.32°, β = 69.88°, γ = 68.57°
Positions (direct):
1 La 0.000 0.500 0.500
2 Th 0.182 0.741 0.895
3 Th 0.818 0.259 0.105
4 Se 0.744 0.638 0.873
5 Se 0.256 0.362 0.127
6 Se 0.952 0.866 0.229
7 Se 0.390 0.687 0.534
8 Se 0.048 0.134 0.771
9 Se 0.610 0.313 0.466

=====

Here is a relaxed structure of La3Th2Se8 from Alexandria. Energies are from PBE-GGA.

Summary:
As for the space group: Cmmm, No. 65. For the total magnetic moment, the calculation gives 0.0618 μB per atom. As for the volume: 28.58 A^3/atom. The total energy is -6.205 eV/atom. As for the formation energy (no corrections): -1.782 eV per atom.

a = 5.046 Å, b = 10.246 Å, c = 8.828 Å
α = 125.50°, β = 90.00°, γ = 90.00°
Positions (direct):
1 La 0.500 0.000 0.000
2 La 0.000 0.279 0.000
3 La 0.000 0.721 0.000
4 Th 0.500 0.258 0.515
5 Th 0.500 0.742 0.485
6 Se 0.000 0.633 0.267
7 Se 0.000 0.367 0.733
8 Se 0.000 0.123 0.246
9 Se 0.000 0.877 0.754
10 Se 0.500 0.627 0.745
11 Se 0.500 0.118 0.745
12 Se 0.500 0.882 0.255
13 Se 0.500 0.373 0.255

=====

Here is a relaxed structure of LaTh2Se5 from Alexandria. Energies are from PBE-GGA.

Summary:
As for the space group: Pnma, No. 62. For the total magnetic moment, the calculation gives 0.0000 μB per atom. As for the volume: 26.92 A^3/atom. The total energy is -6.435 eV/atom. As for the formation energy (no corrections): -1.786 eV per atom.

a = 7.916 Å, b = 8.398 Å, c = 12.959 Å
α = 90.00°, β = 90.00°, γ = 90.00°
Positions (direct):
1 La 0.419 0.250 0.505
2 La 0.581 0.750 0.495
3 La 0.919 0.750 0.995
4 La 0.081 0.250 0.005
5 Th 0.490 0.499 0.819
6 Th 0.510 0.501 0.181
7 Th 0.990 0.501 0.681
8 Th 0.510 0.999 0.181
9 Th 0.010 0.499 0.319
10 Th 0.490 0.001 0.819
11 Th 0.010 0.001 0.319
12 Th 0.990 0.999 0.681
13 Se 0.028 0.250 0.501
14 Se 0.972 0.750 0.499
15 Se 0.528 0.750 0.999
16 Se 0.472 0.250 0.001
17 Se 0.339 0.956 0.611
18 Se 0.661 0.044 0.389
19 Se 0.839 0.044 0.889
20 Se 0.661 0.456 0.389
21 Se 0.161 0.956 0.111
22 Se 0.339 0.544 0.611
23 Se 0.161 0.544 0.111
24 Se 0.839 0.456 0.889
25 Se 0.209 0.250 0.785
26 Se 0.791 0.750 0.215
27 Se 0.709 0.750 0.715
28 Se 0.291 0.250 0.285
29 Se 0.680 0.250 0.683
30 Se 0.320 0.750 0.317
31 Se 0.180 0.750 0.817
32 Se 0.820 0.250 0.183

=====

Here is a relaxed structure of La2Th2Se7 from Alexandria. Energies are from PBE-GGA.

Summary:
As for the space group: Imm2, No. 44. For the total magnetic moment, the calculation gives 0.0000 μB per atom. As for the volume: 27.40 A^3/atom. The total energy is -6.334 eV/atom. As for the formation energy (no corrections): -1.871 eV per atom.

a = 4.311 Å, b = 9.116 Å, c = 9.116 Å
α = 61.03°, β = 76.32°, γ = 76.32°
Positions (direct):
1 La 0.738 0.842 0.682
2 La 0.262 0.318 0.158
3 Th 0.000 0.789 0.211
4 Th 0.500 0.335 0.665
5 Se 0.816 0.067 0.301
6 Se 0.869 0.417 0.846
7 Se 0.500 0.012 0.988
8 Se 0.607 0.504 0.282
9 Se 0.393 0.718 0.496
10 Se 0.184 0.699 0.933
11 Se 0.131 0.154 0.583